Density functional theory data (PBE) for CaMgSi2Pd5 after structural relaxation.

Its crystal system is tetragonal. The value obtained for the density of states at the Fermi level is 4.01 states/eV/f.u. The calculation puts the raw formation energy at -0.642 eV per atom. The total DFT energy (no corrections) is -5.132 eV per atom. The size of the total moment comes out at 0.000 μB/atom. The calculation puts the volume at 17.054 Å³/atom.

The space group is P4/mmm (No. 123) and the conventional cell measures 4.1951, 4.1951 and 8.7212 Å, with angles of 90.00, 90.00 and 90.00 degrees. The distinct sites, in fractional coordinates, are Ca at (0.0000, 0.0000, 0.0000), Mg at (0.0000, 0.0000, 0.5000), Si at (0.5000, 0.5000, 0.3688), Pd at (0.0000, 0.5000, 0.2431) and Pd at (0.5000, 0.5000, 0.0000).